# 1
VASP calculation (PBE) on an optimized crystal structure of RbCoPdSe3.

Uncorrected energy ... -26.32 eV/f.u.

Cell lengths 8.4711, 3.7336, 9.8273 Å; angles 90.00, 110.59, 90.00 degrees
With the nearest neighbours (Å) after each atom.
Space group P2_1/m (No. 11)
Inequivalent atoms, fractional coordinates:
Rb  0.2222  0.2500  0.2648 [2 per cell]  7 Se 3.48-3.78, 1 Pd 3.69, 2 Rb 3.73
Co  0.3378  0.7500  0.8588 [2 per cell]  6 Se 2.40-2.43
Pd  0.0962  0.2500  0.5877 [2 per cell]  3 Se 2.44-2.58, 2 Pd 2.67
Se  0.1555  0.2500  0.8633 [2 per cell]  2 Co 2.43, 1 Pd 2.58
Se  0.2871  0.7500  0.6025 [2 per cell]  1 Co 2.40, 2 Pd 2.44
Se  0.4706  0.7500  0.1190 [2 per cell]  3 Co 2.40-2.43



# 2
VASP calculation (PBE) on an optimized crystal structure of RbCoTe3Pd.

Uncorrected energy ... -24.87 eV/f.u.

Cell lengths 8.8186, 3.9891, 10.4286 Å; angles 90.00, 112.16, 90.00 degrees
With the nearest neighbours (Å) after each atom.
Space group P2_1/m (No. 11)
Inequivalent atoms, fractional coordinates:
Rb  0.2294  0.2500  0.2818 [2 per cell]  8 Te 3.70-4.14, 3 Pd 3.91-4.00, 2 Rb 3.99
Co  0.3300  0.7500  0.8541 [2 per cell]  6 Te 2.55-2.61
Te  0.1492  0.2500  0.8736 [2 per cell]  2 Co 2.61, 1 Pd 2.72
Te  0.2663  0.7500  0.5940 [2 per cell]  1 Co 2.55, 2 Pd 2.63
Te  0.4695  0.7500  0.1213 [2 per cell]  3 Co 2.59-2.61
Pd  0.0718  0.2500  0.5949 [2 per cell]  4 Te 2.63-2.89, 2 Pd 2.76



# 3
VASP calculation (PBE) on an optimized crystal structure of CoRe6Pd.

Formation energy ... -45 meV per atom

Cell lengths 5.4799, 5.4799, 4.3772 Å; angles 90.00, 90.00, 120.00 degrees
With the nearest neighbours (Å) after each atom.
Space group P-6m2 (No. 187)
Inequivalent atoms, fractional coordinates:
Co  0.0000  0.0000  0.0000 [1 per cell]  12 Re 2.71-2.74
Re  0.3375  0.1687  0.5000 [3 per cell]  8 Re 2.68-2.77, 2 Co 2.71, 2 Pd 2.74
Re  0.5058  0.0116  0.0000 [3 per cell]  8 Re 2.64-2.84, 2 Pd 2.73, 2 Co 2.74
Pd  0.3333  0.6667  0.5000 [1 per cell]  12 Re 2.73-2.74



# 4
VASP calculation (PBE) on an optimized crystal structure of CoRePd.

Distance to the lowest polymorph of the same formula ... 0 meV/atom
Formation energy ... 636 meV per atom

Cell lengths 5.6533, 5.6533, 5.6533 Å; angles 90.00, 90.00, 90.00 degrees
With the nearest neighbours (Å) after each atom.
Space group F-43m (No. 216)
Inequivalent atoms, fractional coordinates:
Co  0.0000  0.0000  0.0000 [4 per cell]  4 Re 2.45, 4 Pd 2.45
Re  0.2500  0.2500  0.2500 [4 per cell]  4 Co 2.45
Pd  0.2500  0.2500  0.7500 [4 per cell]  4 Co 2.45



no.,calculated density (g/cm3)
1,5.57
2,6.19
3,18.71
4,12.92